# V8As2C3

V8As2C3 after structural relaxation (PBE, the Alexandria database).

Cell: 5.1548 5.9975 6.7398 Å, 116.42 104.63 90.00°
Fractional positions:
V 0.8160 0.5595 0.1190
V 0.1840 0.4405 0.8810
V 0.8917 0.0888 0.1776
V 0.1083 0.9112 0.8224
V 0.6045 0.6587 0.8015
V 0.6045 0.1428 0.8015
V 0.3955 0.8572 0.1985
V 0.3955 0.3413 0.1985
As 0.2957 0.2559 0.5119
As 0.7043 0.7441 0.4881
C 0.5000 0.0000 0.0000
C 0.0000 0.2459 0.0000
C 0.0000 0.7541 0.0000

## Properties
Calculated formation energy   -305 meV/atom
Total magnetization   0.0 μB per formula unit
Volume   13.77 A^3/atom
Fermi-level density of states   0.787 states/eV per atom
Space group   No. 12